Material: Li2CoRu
Method: DFT, SCAN
State: PBEsol geometry Values from VASP.

Computed properties:
* formation energy from the elements: 559.4 meV/atom

Cell and atoms, written as Quantum ESPRESSO input:
```
&SYSTEM
  ibrav = 0, nat = 4, ntyp = 3
/
ATOMIC_SPECIES
Li 6.94 Li.upf
Ru 101.07 Ru.upf
Co 58.93 Co.upf
CELL_PARAMETERS angstrom
-3.773 1.313 0.150
-2.507 -1.435 2.763
-1.187 2.329 3.024
ATOMIC_POSITIONS crystal
Li 0.750 0.750 0.750
Li 0.250 0.250 0.250
Ru 0.500 0.500 0.500
Co 0.000 0.000 0.000
```

=====

Material: SrAlNi3
Method: DFT, SCAN
State: PBEsol geometry Values from VASP.

Computed properties:
* formation energy from the elements: 1850.6 meV/atom

Cell and atoms, written as Quantum ESPRESSO input:
```
&SYSTEM
  ibrav = 0, nat = 5, ntyp = 3
/
ATOMIC_SPECIES
Ni 58.69 Ni.upf
Al 26.98 Al.upf
Sr 87.62 Sr.upf
CELL_PARAMETERS angstrom
4.599 0.000 0.000
0.000 4.599 0.000
0.000 0.000 4.599
ATOMIC_POSITIONS crystal
Ni 0.000 0.500 0.000
Ni 0.000 0.000 0.500
Al 0.500 0.500 0.500
Ni 0.500 0.000 0.000
Sr 0.000 0.000 0.000
```

=====

Material: Ca2MnNi
Method: DFT, SCAN
State: PBEsol geometry Values from VASP.

Computed properties:
* formation energy from the elements: 305.5 meV/atom

Cell and atoms, written as Quantum ESPRESSO input:
```
&SYSTEM
  ibrav = 0, nat = 4, ntyp = 3
/
ATOMIC_SPECIES
Ca 40.08 Ca.upf
Ni 58.69 Ni.upf
Mn 54.94 Mn.upf
CELL_PARAMETERS angstrom
-3.619 0.063 -2.215
1.343 -3.311 -2.288
-0.792 -1.280 5.322
ATOMIC_POSITIONS crystal
Ca 0.000 0.000 0.000
Ca 0.250 0.750 0.500
Ni 0.750 0.250 0.500
Mn 0.500 0.500 0.000
```

=====

Material: In3PO
Method: DFT, SCAN
State: PBEsol geometry Values from VASP.

Computed properties:
* ΔE_f (raw): 0.66 eV/atom

Cell and atoms, written as Quantum ESPRESSO input:
```
&SYSTEM
  ibrav = 0, nat = 5, ntyp = 3
/
ATOMIC_SPECIES
In 114.82 In.upf
P 30.97 P.upf
O 16.00 O.upf
CELL_PARAMETERS angstrom
5.088 0.000 0.000
0.000 5.088 0.000
0.000 0.000 5.088
ATOMIC_POSITIONS crystal
In 0.000 0.000 0.500
P 0.000 0.000 0.000
In 0.500 0.000 0.000
In 0.000 0.500 0.000
O 0.500 0.500 0.500
```